Cs2BiW PBE-GGA relaxed; relative energy among the computed polymorphs = 0.0 meV per atom; symmetry = No. 122; magnetization = 3.1 μB/f.u.; raw total energy = -0.269 Ry per atom; energy of formation = 970 meV per atom
1.0
9.453 -4.276 -2.623
-6.593 4.365 7.212
-5.015 -9.453 0.122
Cs W Bi
4 2 2
Cartesian
-0.244 -8.378 1.111
-1.196 -0.965 4.747
-4.839 -5.894 2.333
1.969 -3.492 1.230
1.430 0.044 2.294
2.934 -6.842 -0.103
-5.089 -2.522 4.814
0.000 0.000 0.000